The following is a PBE calculation of crystalline EuZnCo at its relaxed geometry, from the Alexandria database.

The value obtained for the mass density is 7.40 g cm⁻³. As for the density of states at the Fermi level: 2.4239 states/eV/atom. The calculation puts the formation energy at 7 meV/atom. The calculated total energy is -18.634 eV per cell.

abc: 3.994 4.233 4.233
angles: 120.00 90.00 90.00
Each line ends with the local moment (μB).
Positions (direct):
Zn 0.166 0.667 0.333  0.05
Eu 0.667 0.333 0.667  6.82
Co 0.167 0.000 0.000  -1.09


The following is a PBE calculation of crystalline Ac5Pr2Sm4 at its relaxed geometry, from the Alexandria database.

The value obtained for the mass density is 7.63 g cm⁻³. As for the density of states at the Fermi level: 1.7198 states/eV/atom. The calculation puts the formation energy at 143 meV/atom. The calculated total energy is -47.409 eV per cell.

abc: 3.722 12.638 16.040
angles: 144.40 90.00 90.00
Positions (direct):
Sm 0.500 0.679 0.536
Sm 0.500 0.845 0.077
Sm 0.500 0.155 0.923
Sm 0.500 0.321 0.464
Ac 0.000 0.410 0.723
Ac 0.000 0.590 0.277
Ac 0.000 0.500 0.000
Ac 0.000 0.777 0.801
Ac 0.000 0.223 0.199
Pr 0.000 0.973 0.352
Pr 0.000 0.027 0.648


The following is a PBE calculation of crystalline BeAl2Pt at its relaxed geometry, from the Alexandria database.

The value obtained for the mass density is 7.56 g cm⁻³. As for the density of states at the Fermi level: 0.4008 states/eV/atom. The calculation puts the formation energy at -499 meV/atom. The calculated total energy is -19.248 eV per cell.

abc: 3.907 3.105 4.929
angles: 71.47 90.00 90.00
Positions (direct):
Al 0.500 0.282 0.310
Al 0.000 0.961 0.952
Pt 0.500 0.558 0.759
Be 0.000 0.698 0.479